Li2CaY after structural relaxation. Source: Alexandria via LeMat-Bulk, functional PBE-GGA.

M_tot (μB per atom): 0.000
ΔH_f (0 K) (eV/atom): 0.173
Calculated volume (Å³/atom): 30.05
Offset from the most stable computed form (eV/f.u.): 0.369
ρ (g/cm³): 1.974
N(E_F) (states/eV/cell): 3.8

abc: 11.330 11.330 11.330
angles: 17.92 17.92 17.92
Element x y z (fractional)
Li 0.502 0.502 0.502
Li 0.998 0.998 0.998
Ca 0.750 0.750 0.750
Y 0.250 0.250 0.250

=====

Li2CaY after structural relaxation. Source: Alexandria via LeMat-Bulk, functional PBE-GGA.

M_tot (μB per atom): 0.000
ΔH_f (0 K) (eV/atom): 0.342
Calculated volume (Å³/atom): 28.82
Offset from the most stable computed form (eV/f.u.): 1.044
ρ (g/cm³): 2.058
N(E_F) (states/eV/cell): 5.4

abc: 8.283 8.283 6.752
angles: 52.17 52.17 90.00
Element x y z (fractional)
Li 0.123 0.625 0.250
Li 0.875 0.877 0.750
Li 0.627 0.125 0.250
Li 0.375 0.373 0.750
Y 0.750 0.250 0.500
Y 0.000 0.000 0.000
Ca 0.500 0.500 0.000
Ca 0.250 0.750 0.500

=====

LiCa3Y after structural relaxation. Source: Alexandria via LeMat-Bulk, functional PBE-GGA.

M_tot (μB per atom): 0.673
ΔH_f (0 K) (eV/atom): 0.805
Calculated volume (Å³/atom): 50.39
Offset from the most stable computed form (eV/f.u.): 2.232
ρ (g/cm³): 1.424
N(E_F) (states/eV/cell): 5.2

abc: 6.316 6.316 6.316
angles: 90.00 90.00 90.00
Site moments in Bohr magnetons follow the coordinates.
Element x y z (fractional)
Ca 0.500 0.000 0.000  0.11
Ca 0.000 0.500 0.000  0.17
Ca 0.000 0.000 0.500  0.21
Y 0.000 0.000 0.000  0.89
Li 0.500 0.500 0.500  0.00

=====

LiCaY2 after structural relaxation. Source: Alexandria via LeMat-Bulk, functional PBE-GGA.

M_tot (μB per atom): 0.000
ΔH_f (0 K) (eV/atom): 0.185
Calculated volume (Å³/atom): 32.05
Offset from the most stable computed form (eV/f.u.): 0.445
ρ (g/cm³): 2.912
N(E_F) (states/eV/cell): 5.3

abc: 6.880 6.880 3.472
angles: 78.59 78.59 121.46
Element x y z (fractional)
Y 0.500 0.500 0.000
Y 0.000 0.000 0.000
Li 0.000 0.500 0.500
Ca 0.500 0.000 0.500

=====

LiCaY4 after structural relaxation. Source: Alexandria via LeMat-Bulk, functional PBE-GGA.

M_tot (μB per atom): 0.000
ΔH_f (0 K) (eV/atom): 0.331
Calculated volume (Å³/atom): 35.25
ρ (g/cm³): 3.161
N(E_F) (states/eV/cell): 9.4

abc: 6.688 6.688 6.688
angles: 60.00 60.00 60.00
Element x y z (fractional)
Y 0.375 0.874 0.375
Y 0.874 0.375 0.375
Y 0.375 0.375 0.874
Y 0.375 0.375 0.375
Ca 0.750 0.750 0.750
Li 0.000 0.000 0.000

=====

LiCaY2 after structural relaxation. Source: Alexandria via LeMat-Bulk, functional PBE-GGA.

M_tot (μB per atom): 0.000
ΔH_f (0 K) (eV/atom): 0.345
Calculated volume (Å³/atom): 30.84
Offset from the most stable computed form (eV/f.u.): 1.083
ρ (g/cm³): 3.026
N(E_F) (states/eV/cell): 13.9

abc: 8.709 8.709 6.965
angles: 51.30 51.30 90.00
Element x y z (fractional)
Li 0.500 0.500 0.000
Li 0.250 0.750 0.500
Ca 0.750 0.250 0.500
Ca 0.000 0.000 0.000
Y 0.581 0.125 0.250
Y 0.875 0.831 0.750
Y 0.169 0.625 0.250
Y 0.375 0.419 0.750

=====

LiCaY3 after structural relaxation. Source: Alexandria via LeMat-Bulk, functional PBE-GGA.

M_tot (μB per atom): 0.372
ΔH_f (0 K) (eV/atom): 0.408
Calculated volume (Å³/atom): 33.71
Offset from the most stable computed form (eV/f.u.): 0.000
ρ (g/cm³): 3.091
N(E_F) (states/eV/cell): 10.3

abc: 5.524 5.524 5.524
angles: 90.00 90.00 90.00
Site moments in Bohr magnetons follow the coordinates.
Element x y z (fractional)
Y 0.000 0.500 0.000  0.22
Y 0.000 0.000 0.500  0.20
Y 0.500 0.000 0.000  0.20
Li 0.000 0.000 0.000  0.06
Ca 0.500 0.500 0.500  0.04

=====

LiCaY2 after structural relaxation. Source: Alexandria via LeMat-Bulk, functional PBE-GGA.

M_tot (μB per atom): 0.000
ΔH_f (0 K) (eV/atom): 0.233
Calculated volume (Å³/atom): 31.79
Offset from the most stable computed form (eV/f.u.): 0.637
ρ (g/cm³): 2.936
N(E_F) (states/eV/cell): 5.6

abc: 5.644 5.644 5.644
angles: 60.00 60.00 60.00
Element x y z (fractional)
Ca 0.500 0.500 0.500
Li 0.750 0.750 0.750
Y 0.250 0.250 0.250
Y 0.000 0.000 0.000